1.
Density functional theory data (GGA-PBE) for a relaxed ZnFe4Au crystal.

Cell lengths 4.8523, 4.8523, 4.8523 Å; angles 60.00, 60.00, 60.00 degrees
Last column: nearest neighbours and their distance in Å.
Fractional positions:
Zn  0.0000  0.0000  0.0000  12 Fe 2.84, 4 Au 2.97
Fe  0.3741  0.3741  0.3741  6 Fe 2.41-2.44
Fe  0.3741  0.3741  0.8776  6 Fe 2.41-2.44
Fe  0.3741  0.8776  0.3741  6 Fe 2.41-2.44
Fe  0.8776  0.3741  0.3741  6 Fe 2.41-2.44
Au  0.7500  0.7500  0.7500  12 Fe 2.85, 4 Zn 2.97

Properties
Calculated formation energy: 3.74 kcal/mol of atoms
Spin magnetization: 10.0 μB/f.u.
Symmetry: F-43m (216)


2.
Density functional theory data (GGA-PBE) for a relaxed RbNbAsBr2 crystal.

Cell lengths 5.4301, 5.4301, 5.0193 Å; angles 90.00, 90.00, 90.00 degrees
Last column: nearest neighbours and their distance in Å.
Fractional positions:
Rb  0.0000  0.0000  0.0000  8 Br 3.70, 4 As 3.84
Nb  0.5000  0.5000  0.5000  2 As 2.51, 4 Br 2.72
As  0.5000  0.5000  0.0000  2 Nb 2.51
Br  0.0000  0.5000  0.5000  2 Nb 2.72
Br  0.5000  0.0000  0.5000  2 Nb 2.72

Properties
Spin magnetization: 0.3 μB/f.u.
E_form (uncorrected): -623 meV/atom
Symmetry: P4/mmm (123)


3.
Density functional theory data (GGA-PBE) for a relaxed Ca2CuOs crystal.

Cell lengths 6.0883, 6.0883, 6.0883 Å; angles 149.13, 132.12, 58.06 degrees
Last column: nearest neighbours and their distance in Å.
Fractional positions:
Ca  0.0000  0.0000  0.0000  4 Os 3.01, 4 Ca 3.24-3.29, 2 Cu 3.28
Ca  0.7040  0.2040  0.5000  4 Cu 3.03, 2 Os 3.20, 4 Ca 3.24-3.29
Cu  0.2675  0.7675  0.5000  2 Os 2.49
Os  0.4453  0.4453  0.0000  2 Cu 2.49

Properties
Calculated formation energy: 7.38 kcal/mol of atoms
Spin magnetization: 0.0 μB/f.u.
Symmetry: Imm2 (44)


4.
Density functional theory data (GGA-PBE) for a relaxed NiPtCl2 crystal.

Cell lengths 6.3109, 6.3109, 6.3109 Å; angles 125.88, 125.88, 80.08 degrees
Last column: nearest neighbours and their distance in Å.
Fractional positions:
Ni  0.0000  0.0000  0.0000  4 Cl 2.25
Ni  0.7500  0.2500  0.5000  4 Cl 2.25
Pt  0.2500  0.7500  0.5000  4 Cl 2.49
Pt  0.5000  0.5000  0.0000  4 Cl 2.49
Cl  0.0898  0.6250  0.9648  2 Ni 2.25, 2 Pt 2.49
Cl  0.3750  0.3398  0.4648  2 Ni 2.25, 2 Pt 2.49
Cl  0.6602  0.1250  0.0352  2 Ni 2.25, 2 Pt 2.49
Cl  0.8750  0.9102  0.5352  2 Ni 2.25, 2 Pt 2.49

Properties
Spin magnetization: 1.2 μB/f.u.
E_form (uncorrected): 331 meV/atom
Symmetry: I-42d (122)


5.
Density functional theory data (GGA-PBE) for a relaxed CdCu3Hg crystal.

Cell lengths 4.8646, 4.8646, 4.8646 Å; angles 90.00, 90.00, 90.00 degrees
Last column: nearest neighbours and their distance in Å.
Fractional positions:
Cd  0.0000  0.0000  0.0000  12 Cu 3.44
Cu  0.0000  0.5000  0.5000  2 Hg 2.43
Cu  0.5000  0.0000  0.5000  2 Hg 2.43
Cu  0.5000  0.5000  0.0000  2 Hg 2.43
Hg  0.5000  0.5000  0.5000  6 Cu 2.43

Properties
Calculated formation energy: 18.34 kcal/mol of atoms
Spin magnetization: 0.0 μB/f.u.
Symmetry: Pm-3m (221)


6.
Density functional theory data (GGA-PBE) for a relaxed PuBiS2 crystal.

Cell lengths 8.8421, 8.8421, 8.8421 Å; angles 25.89, 25.89, 25.89 degrees
Last column: nearest neighbours and their distance in Å.
Fractional positions:
Pu  0.0000  0.0000  0.0000  6 S 2.72
Bi  0.5000  0.5000  0.5000  2 S 2.80
S  0.3907  0.3907  0.3907  3 Pu 2.72, 1 Bi 2.80
S  0.6093  0.6093  0.6093  3 Pu 2.72, 1 Bi 2.80

Properties
Spin magnetization: 4.9 μB/f.u.
E_form (uncorrected): -992 meV/atom
Symmetry: R-3m (166)


7.
Density functional theory data (GGA-PBE) for a relaxed Li4Mg2Hg crystal.

Cell lengths 10.1443, 10.1443, 10.1443 Å; angles 162.97, 153.82, 31.40 degrees
Last column: nearest neighbours and their distance in Å.
Fractional positions:
Li  0.0656  0.0656  0.0000  3 Li 2.56-2.67
Li  0.3647  0.8647  0.5000  2 Li 2.67
Li  0.6353  0.1353  0.5000  2 Li 2.67
Li  0.9344  0.9344  0.0000  3 Li 2.56-2.67
Mg  0.2084  0.7084  0.5000  6 Mg 3.00-3.19, 7 Li 3.05-3.17
Mg  0.7916  0.2916  0.5000  6 Mg 3.00-3.19, 7 Li 3.05-3.17
Hg  0.5000  0.5000  0.0000  2 Hg 3.00, 12 Li 3.03-3.04

Properties
Calculated formation energy: -3.13 kcal/mol of atoms
Spin magnetization: 0.0 μB/f.u.
Symmetry: Immm (71)


8.
Density functional theory data (GGA-PBE) for a relaxed Mg2TlNi crystal.

Cell lengths 5.0854, 5.0854, 5.0854 Å; angles 130.49, 130.49, 72.62 degrees
Last column: nearest neighbours and their distance in Å.
Fractional positions:
Mg  0.2500  0.7500  0.5000  4 Tl 2.96, 4 Ni 2.96, 4 Mg 3.01
Mg  0.7500  0.2500  0.5000  4 Tl 2.96, 4 Ni 2.96, 4 Mg 3.01
Tl  0.0000  0.0000  0.0000  8 Mg 2.96, 4 Ni 3.01
Ni  0.5000  0.5000  0.0000  8 Mg 2.96, 4 Tl 3.01

Properties
Calculated formation energy: 0.95 kcal/mol of atoms
Spin magnetization: 0.0 μB/f.u.
Symmetry: I4/mmm (139)


9.
Density functional theory data (GGA-PBE) for a relaxed LaRe crystal.

Cell lengths 7.2906, 7.2906, 7.2906 Å; angles 109.47, 109.47, 109.47 degrees
Last column: nearest neighbours and their distance in Å.
Fractional positions:
La  0.0000  0.0000  0.5612  1 Re 2.47
La  0.0000  0.5612  0.0000  1 Re 2.47
La  0.4388  0.4388  0.4388  1 Re 2.47
La  0.5612  0.0000  0.0000  1 Re 2.47
Re  0.0000  0.0000  0.2220  1 La 2.47, 3 Re 2.64
Re  0.0000  0.2220  0.0000  1 La 2.47, 3 Re 2.64
Re  0.2220  0.0000  0.0000  1 La 2.47, 3 Re 2.64
Re  0.7780  0.7780  0.7780  1 La 2.47, 3 Re 2.64

Properties
Calculated formation energy: 27.61 kcal/mol of atoms
Spin magnetization: 0.0 μB/f.u.
Symmetry: I-43m (217)


10.
Density functional theory data (GGA-PBE) for a relaxed YScTl3 crystal.

Cell lengths 7.2331, 7.2331, 6.1751 Å; angles 90.00, 90.00, 120.00 degrees
Last column: nearest neighbours and their distance in Å.
Fractional positions:
Y  0.3333  0.6667  0.2500  12 Tl 3.54-3.63
Y  0.6667  0.3333  0.7500  12 Tl 3.54-3.63
Sc  0.0000  0.0000  0.0000  6 Tl 2.89, 2 Sc 3.09
Sc  0.0000  0.0000  0.5000  6 Tl 2.89, 2 Sc 3.09
Tl  0.1952  0.3905  0.7500  2 Sc 2.89, 2 Tl 3.00
Tl  0.1952  0.8048  0.7500  2 Sc 2.89, 2 Tl 3.00
Tl  0.3905  0.1952  0.2500  2 Sc 2.89, 2 Tl 3.00
Tl  0.6095  0.8048  0.7500  2 Sc 2.89, 2 Tl 3.00
Tl  0.8048  0.1952  0.2500  2 Sc 2.89, 2 Tl 3.00
Tl  0.8048  0.6095  0.2500  2 Sc 2.89, 2 Tl 3.00

Properties
Calculated formation energy: -1.84 kcal/mol of atoms
Spin magnetization: 0.0 μB/f.u.
Symmetry: P6_3/mmc (194)